A:
Below is a relaxed structure of YIn2Ni2, with properties calculated at the PBE-GGA level.

```
10
Lattice="7.898 0.000 0.000 0.000 7.898 0.000 0.000 0.000 2.977" Properties=species:S:1:pos:R:3 pbc="T T T"
Y 0.000 0.000 0.000
Y 3.949 3.949 0.000
In 1.026 2.923 0.000
In 2.923 6.872 0.000
In 4.975 1.026 0.000
In 6.872 4.975 0.000
Ni 1.338 5.287 1.489
Ni 2.611 1.338 1.489
Ni 5.287 6.560 1.489
Ni 6.560 2.611 1.489
```

Results
DOS at the Fermi energy (states/eV/f.u.): 2.830

---

B:
Below is a relaxed structure of YIn2Ni2, with properties calculated at the PBE-GGA level.

```
5
Lattice="-2.133 2.133 5.386 2.133 -2.133 5.386 2.133 2.133 -5.386" Properties=species:S:1:pos:R:3 pbc="T T T"
Y 0.000 0.000 0.000
In 2.133 0.000 2.693
In 0.000 2.133 2.693
Ni 0.000 0.000 4.253
Ni 0.000 0.000 6.518
```

Results
DOS at the Fermi energy (states/eV/f.u.): 3.748

---

Relative energies, in meV per atom, with the most stable structure set to zero: A 183; B 0.

---

A:
Below is a relaxed structure of YIn2Ni2, with properties calculated at the PBE-GGA level.

```
5
Lattice="1.654 -9.089 0.000 1.654 9.089 0.000 0.000 0.000 3.265" Properties=species:S:1:pos:R:3 pbc="T T T"
Y 0.000 0.000 0.000
In 1.654 5.850 0.000
In 1.654 -5.850 0.000
Ni 1.654 1.746 1.632
Ni 1.654 -1.746 1.632
```

Results
DOS at the Fermi energy (states/eV/f.u.): 2.940

---

B:
Below is a relaxed structure of YIn2Ni2, with properties calculated at the PBE-GGA level.

```
5
Lattice="-2.252 2.252 5.008 2.252 -2.252 5.008 2.252 2.252 -5.008" Properties=species:S:1:pos:R:3 pbc="T T T"
Y 0.000 0.000 0.000
In 0.000 0.000 3.617
In 0.000 0.000 6.398
Ni 2.252 0.000 2.504
Ni 0.000 2.252 2.504
```

Results
DOS at the Fermi energy (states/eV/f.u.): 3.871

---

C:
Below is a relaxed structure of YIn2Ni2, with properties calculated at the PBE-GGA level.

```
10
Lattice="-2.217 2.217 10.124 2.217 -2.217 10.124 2.217 2.217 -10.124" Properties=species:S:1:pos:R:3 pbc="T T T"
Y 0.000 0.000 2.745
Y 0.000 0.000 17.502
In 2.217 0.000 0.000
In 0.000 0.000 6.327
In 0.000 2.217 0.000
In 0.000 0.000 13.920
Ni 2.217 0.000 5.062
Ni 0.000 0.000 8.801
Ni 0.000 0.000 11.446
Ni 0.000 2.217 5.062
```

Results
DOS at the Fermi energy (states/eV/f.u.): 4.020

---

D:
Below is a relaxed structure of YIn2Ni2, with properties calculated at the PBE-GGA level.

```
10
Lattice="7.613 0.000 0.000 0.000 7.613 0.000 0.000 0.000 3.193" Properties=species:S:1:pos:R:3 pbc="T T T"
Y 0.000 0.000 0.000
Y 3.806 3.806 0.000
In 1.206 2.600 1.597
In 2.600 6.406 1.597
In 5.013 1.206 1.597
In 6.406 5.013 1.597
Ni 1.008 4.814 0.000
Ni 2.799 1.008 0.000
Ni 4.814 6.605 0.000
Ni 6.605 2.799 0.000
```

Results
DOS at the Fermi energy (states/eV/f.u.): 4.781

---

Relative energies, in meV per atom, with the most stable structure set to zero: A 118; B 92; C 0; D 76.

---

A:
Below is a relaxed structure of Y2In2Ni, with properties calculated at the PBE-GGA level.

```
5
Lattice="2.325 -7.155 0.000 2.325 7.155 0.000 0.000 0.000 3.552" Properties=species:S:1:pos:R:3 pbc="T T T"
Y 2.325 5.604 0.000
Y 2.325 -5.604 0.000
In 2.325 2.685 1.776
In 2.325 -2.685 1.776
Ni 2.325 0.000 1.776
```

Results
DOS at the Fermi energy (states/eV/f.u.): 5.262

---

B:
Below is a relaxed structure of Y2In2Ni, with properties calculated at the PBE-GGA level.

```
5
Lattice="-1.955 1.955 8.679 1.955 -1.955 8.679 1.955 1.955 -8.679" Properties=species:S:1:pos:R:3 pbc="T T T"
Y 0.000 0.000 1.575
Y 0.000 0.000 15.782
In 1.955 0.000 4.339
In 0.000 1.955 4.339
Ni 0.000 0.000 8.679
```

Results
DOS at the Fermi energy (states/eV/f.u.): 5.127

---

Relative energies, in meV per atom, with the most stable structure set to zero: A 0; B 309.

---

A:
Below is a relaxed structure of Y2In2Ni, with properties calculated at the PBE-GGA level.

```
10
Lattice="7.162 0.000 0.000 0.000 7.162 0.000 0.000 0.000 4.721" Properties=species:S:1:pos:R:3 pbc="T T T"
Y 1.194 2.388 0.000
Y 2.388 5.969 0.000
Y 4.775 1.194 0.000
Y 5.969 4.775 0.000
In 1.036 4.617 2.360
In 2.545 1.036 2.360
In 4.617 6.126 2.360
In 6.126 2.545 2.360
Ni 0.000 0.000 2.360
Ni 3.581 3.581 2.360
```

Results
DOS at the Fermi energy (states/eV/f.u.): 4.423

---

B:
Below is a relaxed structure of Y2In2Ni, with properties calculated at the PBE-GGA level.

```
10
Lattice="7.199 0.000 0.000 0.000 7.199 0.000 0.000 0.000 5.100" Properties=species:S:1:pos:R:3 pbc="T T T"
Y 1.183 2.416 0.000
Y 2.416 6.016 0.000
Y 4.783 1.183 0.000
Y 6.016 4.783 0.000
In 1.083 4.683 2.550
In 2.517 1.083 2.550
In 4.683 6.116 2.550
In 6.116 2.517 2.550
Ni 0.000 0.000 0.000
Ni 3.600 3.600 0.000
```

Results
DOS at the Fermi energy (states/eV/f.u.): 6.202

---

Relative energies, in meV per atom, with the most stable structure set to zero: A 0; B 216.

---

A:
Below is a relaxed structure of Y4InNi, with properties calculated at the PBE-GGA level.

```
24
Lattice="0.000 6.816 6.816 6.816 0.000 6.816 6.816 6.816 0.000" Properties=species:S:1:pos:R:3 pbc="T T T"
Y 8.880 4.752 4.752
Y 3.408 3.408 0.852
Y 3.408 0.852 3.408
Y 5.965 3.408 3.408
Y 6.816 6.816 2.568
Y 6.816 2.568 6.816
Y 11.064 6.816 6.816
Y 0.852 3.408 3.408
Y 3.408 5.965 3.408
Y 3.408 3.408 5.965
Y 4.752 8.880 4.752
Y 4.752 4.752 8.880
Y 8.880 8.880 8.880
Y 2.568 6.816 6.816
Y 6.816 11.064 6.816
Y 6.816 6.816 11.064
In 5.686 5.686 5.686
In 7.946 7.946 5.686
In 7.946 5.686 7.946
In 5.686 7.946 7.946
Ni 11.689 8.760 8.760
Ni 8.760 11.689 8.760
Ni 8.760 8.760 11.689
Ni 11.689 11.689 11.689
```

Results
DOS at the Fermi energy (states/eV/f.u.): 5.412

---

B:
Below is a relaxed structure of Y4InNi, with properties calculated at the PBE-GGA level.

```
6
Lattice="0.000 4.370 4.370 4.370 0.000 4.370 4.370 4.370 0.000" Properties=species:S:1:pos:R:3 pbc="T T T"
Y 1.092 1.092 1.092
Y 3.278 3.278 1.092
Y 3.278 1.092 3.278
Y 1.092 3.278 3.278
In 6.554 6.554 6.554
Ni 4.370 4.370 4.370
```

Results
DOS at the Fermi energy (states/eV/f.u.): 6.076

---

Relative energies, in meV per atom, with the most stable structure set to zero: A 0; B 892.

---

A:
Below is a relaxed structure of YIn2Ni9, with properties calculated at the PBE-GGA level.

```
12
Lattice="2.460 1.420 7.892 -2.460 1.420 7.892 0.000 -2.841 7.892" Properties=species:S:1:pos:R:3 pbc="T T T"
Y 0.000 0.000 0.000
In 0.000 0.000 3.321
In 0.000 0.000 20.356
Ni -1.241 -0.717 9.878
Ni 0.000 0.000 7.904
Ni 0.000 -1.433 13.799
Ni -1.241 0.717 13.799
Ni 0.000 0.000 11.839
Ni 1.241 -0.717 9.878
Ni 0.000 1.433 9.878
Ni 0.000 0.000 15.773
Ni 1.241 0.717 13.799
```

Results
DOS at the Fermi energy (states/eV/f.u.): 15.541

---

B:
Below is a relaxed structure of YIn2Ni9, with properties calculated at the PBE-GGA level.

```
24
Lattice="8.249 0.000 0.000 0.000 8.249 0.000 0.000 0.000 4.845" Properties=species:S:1:pos:R:3 pbc="T T T"
Y 0.000 0.000 0.000
Y 4.125 4.125 0.000
In 1.030 3.095 0.000
In 3.095 7.219 0.000
In 5.155 1.030 0.000
In 7.219 5.155 0.000
Ni 0.000 4.125 2.423
Ni 0.529 1.703 2.423
Ni 1.455 5.580 1.207
Ni 1.455 5.580 3.639
Ni 1.703 7.721 2.423
Ni 2.422 3.596 2.423
Ni 2.669 1.455 1.207
Ni 2.669 1.455 3.639
Ni 3.596 5.827 2.423
Ni 4.125 0.000 2.423
Ni 4.653 2.422 2.423
Ni 5.580 6.794 1.207
Ni 5.580 6.794 3.639
Ni 5.827 4.653 2.423
Ni 6.546 0.529 2.423
Ni 6.794 2.669 1.207
Ni 6.794 2.669 3.639
Ni 7.721 6.546 2.423
```

Results
DOS at the Fermi energy (states/eV/f.u.): 18.269

---

Relative energies, in meV per atom, with the most stable structure set to zero: A 13; B 0.